The following is a DFT calculation (PBE) of TcWN after structural relaxation.

Its density of states at the Fermi level is 0.585 states/eV per atom. The energy above the most stable polymorph in this dataset is 8 meV per atom. Its uncorrected formation energy is -126 meV/atom. For the density, the calculation gives 13698 kg/m3.

The structure belongs to space group Pm (No. 6); the cell edges are 4.937, 2.858 and 5.329 Å and the angles 90.00°, 107.42° and 90.00°. Symmetry generates all atoms from Tc at (0.000, 0.000, 0.000), Tc at (0.308, 0.500, 0.419), W at (0.484, 0.500, 0.976), W at (0.814, 0.000, 0.432), N at (0.233, 0.000, 0.701) and N at (0.727, 0.500, 0.692).